(1)
Compound: NaIrS2
Source: Alexandria via LeMat-Bulk
Functional: PBE
Structure: relaxed

Results
Total moment ... 0.000 μB/f.u.

Unit cell a=7.8646 b=7.8646 c=7.8646 alpha=26.91 beta=26.91 gamma=26.91
Last column: nearest neighbours and their distance in Å.
Fractional positions:
Na: 0.0000 0.0000 0.0000  2 S 2.65
Ir: 0.5000 0.5000 0.5000  6 S 2.40
S: 0.1164 0.1164 0.1164  3 Ir 2.40, 1 Na 2.65
S: 0.8836 0.8836 0.8836  3 Ir 2.40, 1 Na 2.65


(2)
Compound: TlRu2Se
Source: Alexandria via LeMat-Bulk
Functional: PBE
Structure: relaxed

Results
Relative energy among the computed polymorphs ... 121 meV/atom
Total moment ... 0.000 μB/f.u.

Unit cell a=10.3211 b=10.3211 c=10.3211 alpha=16.68 beta=16.68 gamma=16.68
Last column: nearest neighbours and their distance in Å.
Fractional positions:
Tl: 0.0000 0.0000 0.0000  6 Tl 2.99, 3 Ru 3.02
Ru: 0.4821 0.4821 0.4821  3 Se 2.50, 3 Ru 2.69
Ru: 0.7478 0.7478 0.7478  9 Ru 2.69-2.99
Se: 0.2078 0.2078 0.2078  3 Ru 2.50


| no. | formation energy from raw total energies (meV per atom) |
| --- | --- |
| 1 | -480.2 |
| 2 | 405.0 |